Entry 1:
Here is a relaxed structure of YAlAs2Se from Alexandria. Energies are from PBE-GGA.

Cell: 4.821 4.821 5.018 Å, 90.00 90.00 90.00°
Sites, in units of the cell vectors:
Y: 0.000 0.000 0.000
Al: 0.500 0.500 0.500
As: 0.000 0.500 0.500
As: 0.500 0.000 0.500
Se: 0.500 0.500 0.000

Space group ... P4/mmm
Offset from the most stable computed form ... 0 meV per atom

=====

Entry 2:
Here is a relaxed structure of BaMg2Cl from Alexandria. Energies are from PBE-GGA.

Cell: 4.310 5.981 5.984 Å, 90.00 90.00 90.00°
Sites, in units of the cell vectors:
Ba: 0.000 0.000 0.000
Mg: 0.500 0.500 0.255
Mg: 0.500 0.500 0.745
Cl: 0.000 0.000 0.500

Space group ... Pmmm
Offset from the most stable computed form ... 226 meV per atom

=====

Entry 3:
Here is a relaxed structure of RbPa2PdSe5 from Alexandria. Energies are from PBE-GGA.

Cell: 9.326 9.326 9.326 Å, 129.45 129.45 74.29°
Sites, in units of the cell vectors:
Rb: 0.250 0.250 0.000
Rb: 0.750 0.750 0.000
Pa: 0.156 0.656 0.813
Pa: 0.344 0.156 0.500
Pa: 0.656 0.844 0.500
Pa: 0.844 0.344 0.187
Pd: 0.250 0.750 0.500
Pd: 0.750 0.250 0.500
Se: 0.000 0.000 0.000
Se: 0.027 0.234 0.500
Se: 0.234 0.734 0.207
Se: 0.266 0.473 0.500
Se: 0.473 0.973 0.207
Se: 0.500 0.500 0.000
Se: 0.527 0.027 0.793
Se: 0.734 0.527 0.500
Se: 0.766 0.266 0.793
Se: 0.973 0.766 0.500

Space group ... I4/mcm

=====

Entry 4:
Here is a relaxed structure of Ac2In6Ag3 from Alexandria. Energies are from PBE-GGA.

Cell: 8.667 8.667 4.568 Å, 90.00 90.00 120.00°
Sites, in units of the cell vectors:
Ac: 0.333 0.667 0.000
Ac: 0.667 0.333 0.000
In: 0.000 0.306 0.500
In: 0.000 0.804 0.000
In: 0.196 0.196 0.000
In: 0.306 0.000 0.500
In: 0.694 0.694 0.500
In: 0.804 0.000 0.000
Ag: 0.000 0.624 0.500
Ag: 0.376 0.376 0.500
Ag: 0.624 0.000 0.500

Space group ... P-62m

=====

Entry 5:
Here is a relaxed structure of Pb2WI from Alexandria. Energies are from PBE-GGA.

Cell: 6.756 6.756 14.476 Å, 90.00 90.00 90.00°
Sites, in units of the cell vectors:
Pb: 0.152 0.250 0.125
Pb: 0.250 0.652 0.375
Pb: 0.250 0.848 0.875
Pb: 0.348 0.250 0.625
Pb: 0.652 0.750 0.625
Pb: 0.750 0.152 0.875
Pb: 0.750 0.348 0.375
Pb: 0.848 0.750 0.125
W: 0.000 0.000 0.000
W: 0.000 0.500 0.250
W: 0.500 0.000 0.750
W: 0.500 0.500 0.500
I: 0.000 0.000 0.500
I: 0.000 0.500 0.750
I: 0.500 0.000 0.250
I: 0.500 0.500 0.000

Space group ... I-42d
Offset from the most stable computed form ... 0 meV per atom

=====

Entry 6:
Here is a relaxed structure of YAlGe2 from Alexandria. Energies are from PBE-GGA.

Cell: 7.456 7.456 6.175 Å, 90.00 90.00 90.00°
Sites, in units of the cell vectors:
Y: 0.000 0.000 0.000
Y: 0.000 0.500 0.250
Y: 0.500 0.000 0.750
Y: 0.500 0.500 0.500
Al: 0.000 0.000 0.500
Al: 0.000 0.500 0.750
Al: 0.500 0.000 0.250
Al: 0.500 0.500 0.000
Ge: 0.210 0.250 0.625
Ge: 0.250 0.710 0.875
Ge: 0.250 0.790 0.375
Ge: 0.290 0.250 0.125
Ge: 0.710 0.750 0.125
Ge: 0.750 0.210 0.375
Ge: 0.750 0.290 0.875
Ge: 0.790 0.750 0.625

Space group ... I-42d

=====

Energy readings, ordered: -4.87, -2.18, -5.93, -3.30, -4.32, -5.17 eV per atom
Volume readings, ordered: 23.3, 38.6, 26.2, 27.0, 41.3, 21.5 Å³ per atom
Total magnetization readings, ordered: 0.00, 0.00, 0.99, 0.00, 0.83, 0.00 μB/f.u.